Density functional theory data (PBE-GGA) for a geometry-optimized TaFeNiAu2 structure.

Unit cell a=4.652 b=4.652 c=4.387 alpha=90.00 beta=90.00 gamma=90.00
Element x y z (fractional)
Ta: 0.000 0.000 0.000
Fe: 0.500 0.500 0.000
Ni: 0.000 0.000 0.500
Au: 0.000 0.500 0.500
Au: 0.500 0.000 0.500

Results
formation energy: 1261 meV/atom
final energy: -5.27 eV/atom